Record 1
Here is a relaxed LiMgUN3 crystal from Alexandria via LeMat-Bulk. Energies are from PBE.

Geometry as POSCAR:
```
LiMgUN3
1.0
5.412 0.000 0.000
0.000 3.514 0.000
-0.369 0.000 7.830
Li Mg U N
2 2 2 6
Direct
0.216 0.250 0.004
0.784 0.750 0.996
0.080 0.750 0.687
0.920 0.250 0.313
0.410 0.750 0.312
0.590 0.250 0.688
0.076 0.750 0.186
0.279 0.250 0.486
0.448 0.750 0.809
0.552 0.250 0.191
0.721 0.750 0.514
0.924 0.250 0.814
```

Computed properties:
Energy   -7.64 eV per atom
Raw formation energy   -1.01 eV/atom
SG   P2_1/m

=====

Record 2
Here is a relaxed Tm5SiBi4 crystal from Alexandria via LeMat-Bulk. Energies are from PBE.

Geometry as POSCAR:
```
Tm5SiBi4
1.0
-4.876 4.876 3.087
4.876 -4.876 3.087
4.876 4.876 -3.087
Tm Si Bi
5 1 4
Direct
0.000 0.000 0.000
0.222 0.403 0.625
0.403 0.778 0.180
0.597 0.222 0.820
0.778 0.597 0.375
0.500 0.500 0.000
0.091 0.695 0.786
0.305 0.091 0.397
0.695 0.909 0.603
0.909 0.305 0.214
```

Computed properties:
Energy   -5.04 eV per atom
Raw formation energy   -0.71 eV/atom
SG   I4/m

=====

Record 3
Here is a relaxed Sc2PdI crystal from Alexandria via LeMat-Bulk. Energies are from PBE.

Geometry as POSCAR:
```
Sc2PdI
1.0
2.046 1.182 8.217
-2.046 1.182 8.217
0.000 -2.363 8.217
Sc Pd I
2 1 1
Direct
0.116 0.116 0.116
0.884 0.884 0.884
0.500 0.500 0.500
0.000 0.000 0.000
```

Computed properties:
Energy   -5.46 eV per atom
Raw formation energy   -0.61 eV/atom
SG   R-3m

=====

Record 4
Here is a relaxed HfTl2Se2O6 crystal from Alexandria via LeMat-Bulk. Energies are from PBE.

Geometry as POSCAR:
```
HfTl2Se2O6
1.0
4.721 -3.353 0.000
4.721 3.353 0.000
-2.525 0.000 5.788
Hf Tl Se O
1 2 2 6
Direct
0.000 0.000 0.000
0.201 0.201 0.631
0.799 0.799 0.369
0.439 0.439 0.238
0.561 0.561 0.762
0.175 0.758 0.219
0.242 0.825 0.781
0.245 0.245 0.202
0.755 0.755 0.798
0.758 0.175 0.219
0.825 0.242 0.781
```

Computed properties:
Energy   -5.97 eV per atom
Raw formation energy   -1.30 eV/atom
SG   C2/m